1.
MnFe2I6Br2 | PBE-GGA | relaxed

Structure (extended XYZ):
```
11
Lattice="7.2084 0.0000 0.0000 -3.6042 6.2427 0.0000 0.0000 0.0000 10.0723" Properties=species:S:1:pos:R:3 pbc="T T T"
Mn 0.0000 0.0000 0.0000
Fe 0.0000 4.1618 7.5555
Fe 3.6042 2.0809 2.5167
I -2.4447 4.2477 8.3956
I 1.1480 2.0017 8.3956
I 2.3075 0.0067 1.6766
I 1.2968 6.2360 8.3956
I 2.4563 4.2410 1.6766
I 6.0489 1.9950 1.6766
Br 0.0000 4.1618 5.2669
Br 3.6042 2.0809 4.8053
```

Results
- E_form (uncorrected) (eV per atom) = -0.302
- crystal system = trigonal
- SG = P-3, No. 147

***

2.
NaFe2I6Br2 | PBE-GGA | relaxed

Structure (extended XYZ):
```
11
Lattice="7.2342 0.0000 0.0000 -3.6171 6.2650 0.0000 0.0000 0.0000 11.0356" Properties=species:S:1:pos:R:3 pbc="T T T"
Na 0.0000 0.0000 0.0000
Fe 0.0000 4.1767 8.0932
Fe 3.6171 2.0883 2.9424
I -1.2304 2.1992 2.0670
I -1.0973 6.2310 2.0670
I 1.2894 2.1652 8.9686
I 2.3277 4.0998 2.0670
I 4.7144 0.0341 8.9686
I 4.8475 4.0658 8.9686
Br 0.0000 4.1767 5.8018
Br 3.6171 2.0883 5.2339
```

Results
- E_form (uncorrected) (eV per atom) = -0.367
- crystal system = trigonal
- SG = P-3, No. 147